Computed, not measured: crystalline TaCoP4 at its relaxed geometry at the GGA-PBE level of DFT.

Unit cell a=4.879 b=4.879 c=4.879 alpha=60.00 beta=60.00 gamma=60.00
Sites, in units of the cell vectors:
1 Ta 0.000 0.000 0.000
2 Co 0.750 0.750 0.750
3 P 0.375 0.375 0.375
4 P 0.375 0.375 0.874
5 P 0.375 0.874 0.375
6 P 0.874 0.375 0.375

ΔH_f (0 K)	0.593	eV/atom